This record from the Alexandria database describes a geometry-optimized LaGa2PdF structure. The functional is PBE.

```
data_LaGa2PdF
_cell_length_a 4.454
_cell_length_b 4.454
_cell_length_c 6.357
_cell_angle_alpha 90.00
_cell_angle_beta 90.00
_cell_angle_gamma 90.00
_symmetry_space_group_name_H-M 'P 1'
_symmetry_Int_Tables_number 1
loop_
_symmetry_equiv_pos_as_xyz
'x,y,z'
loop_
_atom_site_label
_atom_site_type_symbol
_atom_site_fract_x
_atom_site_fract_y
_atom_site_fract_z
La1 La 0.000 0.000 0.000
Ga1 Ga 0.000 0.500 0.500
Ga2 Ga 0.500 0.000 0.500
Pd1 Pd 0.500 0.500 0.000
F1 F 0.500 0.500 0.500
```

Calculated values
Its uncorrected formation energy is -49.8 kJ per mole of atoms. Its space group is P4/mmm (123). As for the spin magnetization: 0.00 μB per formula unit.

This record from the Alexandria database describes a geometry-optimized LaGaReF2 structure. The functional is PBE.

```
data_LaGaReF2
_cell_length_a 4.301
_cell_length_b 4.301
_cell_length_c 5.474
_cell_angle_alpha 90.00
_cell_angle_beta 90.00
_cell_angle_gamma 90.00
_symmetry_space_group_name_H-M 'P 1'
_symmetry_Int_Tables_number 1
loop_
_symmetry_equiv_pos_as_xyz
'x,y,z'
loop_
_atom_site_label
_atom_site_type_symbol
_atom_site_fract_x
_atom_site_fract_y
_atom_site_fract_z
La1 La 0.000 0.000 0.000
Ga1 Ga 0.500 0.500 0.000
Re1 Re 0.000 0.000 0.500
F1 F 0.000 0.500 0.500
F2 F 0.500 0.000 0.500
```

Calculated values
Its uncorrected formation energy is -35.4 kJ per mole of atoms. Its space group is P4/mmm (123). As for the spin magnetization: 0.00 μB per formula unit.

Please write out number 2 again, unchanged.
This record from the Alexandria database describes a geometry-optimized LaGaReF2 structure. The functional is PBE.

```
data_LaGaReF2
_cell_length_a 4.301
_cell_length_b 4.301
_cell_length_c 5.474
_cell_angle_alpha 90.00
_cell_angle_beta 90.00
_cell_angle_gamma 90.00
_symmetry_space_group_name_H-M 'P 1'
_symmetry_Int_Tables_number 1
loop_
_symmetry_equiv_pos_as_xyz
'x,y,z'
loop_
_atom_site_label
_atom_site_type_symbol
_atom_site_fract_x
_atom_site_fract_y
_atom_site_fract_z
La1 La 0.000 0.000 0.000
Ga1 Ga 0.500 0.500 0.000
Re1 Re 0.000 0.000 0.500
F1 F 0.000 0.500 0.500
F2 F 0.500 0.000 0.500
```

Calculated values
Its uncorrected formation energy is -35.4 kJ per mole of atoms. Its space group is P4/mmm (123). As for the spin magnetization: 0.00 μB per formula unit.